A plane-wave DFT calculation with PBE was carried out for a relaxed structure of CoPt2W.

For the uncorrected energy, the calculation gives -65.76 eV/cell. For the calculated formation energy, the calculation gives -185.4 meV/atom. The density comes out at 18.29 g cm⁻³. The calculation puts the energy above the most stable polymorph in this dataset at 0.0 meV/atom. The density of states at the Fermi level is 10.6 states/eV/cell. The spin magnetization is 1.5 Bohr magnetons per cell.

The structure belongs to space group I4/mmm (No. 139); the cell edges are 3.8225, 3.8225 and 7.8671 Å and the angles 90.00°, 90.00° and 90.00°. The asymmetric unit holds Co at (0.0000, 0.0000, 0.0000), Pt at (0.0000, 0.5000, 0.2500) and W at (0.0000, 0.0000, 0.5000).